# 1
LiSi4Pd6, relaxed, DFT PBE; total moment = 0.000 μB/cell; calculated volume = 166.37 Å³ per cell; raw formation energy = -6.99 eV/f.u.
1.0
7.268 0.000 0.000
-3.634 6.295 0.000
0.000 0.000 3.636
Li Si Pd
1 4 6
direct
0.000 0.000 0.000
0.333 0.667 0.000
0.369 0.185 0.500
0.815 0.185 0.500
0.815 0.631 0.500
0.196 0.393 0.500
0.196 0.804 0.500
0.536 0.071 0.000
0.536 0.464 0.000
0.607 0.804 0.500
0.929 0.464 0.000

=====

# 2
Ca2HoNpN4, relaxed, DFT PBE; total moment = 2.001 μB/cell; calculated volume = 118.62 Å³ per cell; raw formation energy = -10.56 eV/f.u.
1.0
5.959 0.000 0.000
0.000 3.496 0.000
-1.923 0.000 5.693
Ca Ho Np N
2 1 1 4
direct
0.000 0.000 0.000
0.500 0.500 0.000
0.000 0.500 0.500
0.500 0.000 0.500
0.264 0.000 0.712
0.268 0.500 0.279
0.732 0.500 0.721
0.736 0.000 0.288

=====

# 3
Na3Tm2AlSe6, relaxed, DFT PBE; total moment = 0.000 μB/cell; calculated volume = 291.49 Å³ per cell; raw formation energy = -17.21 eV/f.u.
1.0
3.468 -6.011 0.000
3.468 6.011 0.000
-2.322 0.000 6.992
Na Tm Al Se
3 2 1 6
direct
0.000 0.000 0.000
0.331 0.669 0.000
0.669 0.331 0.000
0.166 0.834 0.500
0.834 0.166 0.500
0.500 0.500 0.500
0.115 0.427 0.281
0.262 0.262 0.717
0.427 0.115 0.281
0.573 0.885 0.719
0.738 0.738 0.283
0.885 0.573 0.719

=====

# 4
Rb2YNbW, relaxed, DFT PBE; total moment = 1.350 μB/cell; calculated volume = 208.41 Å³ per cell; formation energy from the elements = 916 kJ/mol of formula units
1.0
6.626 0.000 0.000
0.000 6.626 0.000
0.000 0.000 4.747
Rb Y Nb W
2 1 1 1
direct
0.000 0.500 0.000
0.500 0.000 0.000
0.000 0.000 0.500
0.500 0.500 0.500
0.500 0.500 0.000

=====

# 5
Tl2AgPtBr6, relaxed, DFT PBE; total moment = 0.004 μB/cell; calculated volume = 632.57 Å³ per cell; raw formation energy = -4.74 eV/f.u.
1.0
3.704 2.139 13.306
-3.704 2.139 13.306
0.000 -4.278 13.306
Tl Ag Pt Br
4 2 2 12
direct
0.133 0.133 0.133
0.308 0.308 0.308
0.692 0.692 0.692
0.867 0.867 0.867
0.414 0.414 0.414
0.586 0.586 0.586
0.000 0.000 0.000
0.500 0.500 0.500
0.133 0.628 0.628
0.202 0.202 0.710
0.202 0.710 0.202
0.290 0.798 0.798
0.372 0.372 0.867
0.372 0.867 0.372
0.628 0.133 0.628
0.628 0.628 0.133
0.710 0.202 0.202
0.798 0.290 0.798
0.798 0.798 0.290
0.867 0.372 0.372

=====

# 6
TbHoInAu, relaxed, DFT PBE; total moment = 0.000 μB/cell; calculated volume = 403.09 Å³ per cell; formation energy from the elements = -237 kJ/mol of formula units
1.0
7.387 0.000 0.000
0.000 7.387 0.000
0.000 0.000 7.387
Tb Ho In Au
4 4 4 4
direct
0.000 0.000 0.000
0.000 0.500 0.500
0.500 0.000 0.500
0.500 0.500 0.000
0.000 0.000 0.500
0.000 0.500 0.000
0.500 0.000 0.000
0.500 0.500 0.500
0.250 0.250 0.250
0.250 0.750 0.750
0.750 0.250 0.750
0.750 0.750 0.250
0.250 0.250 0.750
0.250 0.750 0.250
0.750 0.250 0.250
0.750 0.750 0.750